Compound: Pa2VSb
Source: Alexandria via LeMat-Bulk
Functional: PBE
Structure: optimized geometry

Results
The distance to the lowest polymorph of the same formula is 0.00 eV/f.u. As for the electronic total energy: -8.177 eV per atom. The total magnetic moment is 1.5 μB per cell. The raw formation energy comes out at -0.12 eV per atom.

Cell lengths 4.3463, 4.3463, 4.6380 Å; angles 90.00, 90.00, 90.00 degrees
With the nearest neighbours (Å) after each atom.
Space group P4/mmm (No. 123)
Symmetry-distinct sites (fractional):
Pa 0.0000 0.5000 0.0000  4 Pa 3.07, 4 Sb 3.18, 4 V 3.18
V 0.0000 0.0000 0.5000  4 Sb 3.07, 8 Pa 3.18
Sb 0.5000 0.5000 0.5000  4 V 3.07, 8 Pa 3.18



Compound: PaV2Sb
Source: Alexandria via LeMat-Bulk
Functional: PBE
Structure: optimized geometry

Results
The distance to the lowest polymorph of the same formula is 0.00 eV/f.u. As for the electronic total energy: -8.017 eV per atom. The total magnetic moment is 2.6 μB per cell. The raw formation energy comes out at -0.05 eV per atom.

Cell lengths 4.5349, 4.5349, 3.5942 Å; angles 90.00, 90.00, 90.00 degrees
With the nearest neighbours (Å) after each atom.
Space group P4/mmm (No. 123)
Symmetry-distinct sites (fractional):
Pa 0.0000 0.0000 0.0000  8 V 2.89, 4 Sb 3.21
V 0.0000 0.5000 0.5000  4 Pa 2.89, 4 Sb 2.89, 4 V 3.21
Sb 0.5000 0.5000 0.0000  8 V 2.89, 4 Pa 3.21



Compound: Pa2VSb
Source: Alexandria via LeMat-Bulk
Functional: PBE
Structure: optimized geometry

Results
The distance to the lowest polymorph of the same formula is 1.58 eV/f.u. As for the electronic total energy: -7.781 eV per atom. The total magnetic moment is 6.4 μB per cell. The raw formation energy comes out at 0.28 eV per atom.

Cell lengths 4.0237, 4.0237, 21.8809 Å; angles 90.00, 90.00, 120.00 degrees
With the nearest neighbours (Å) after each atom.
Space group R-3m (No. 166, hexagonal axes)
Symmetry-distinct sites (fractional):
Pa 0.0000 0.0000 0.2358  3 V 2.77
V 0.0000 0.0000 0.5000  6 Pa 2.77
Sb 0.0000 0.0000 0.0000  6 Pa 3.16



Compound: PaSb2W
Source: Alexandria via LeMat-Bulk
Functional: PBE
Structure: optimized geometry

Results
As for the electronic total energy: -6.303 eV per atom. The total magnetic moment is 14.9 μB per cell. The raw formation energy comes out at 1.37 eV per atom.

Cell lengths 4.4661, 4.4661, 26.3745 Å; angles 90.00, 90.00, 120.00 degrees
With the nearest neighbours (Å) after each atom.
Space group R-3m (No. 166, hexagonal axes)
Symmetry-distinct sites (fractional):
Pa 0.0000 0.0000 0.0000  6 Sb 3.08
Sb 0.0000 0.0000 0.3971  1 W 2.71
W 0.0000 0.0000 0.5000  2 Sb 2.71



Compound: YPa4Sb5
Source: Alexandria via LeMat-Bulk
Functional: PBE
Structure: optimized geometry

Results
As for the electronic total energy: -7.080 eV per atom. The total magnetic moment is 0.0 μB per cell. The raw formation energy comes out at -0.57 eV per atom.

Cell lengths 9.7560, 9.7560, 6.1699 Å; angles 90.00, 90.00, 90.00 degrees
With the nearest neighbours (Å) after each atom.
Space group I4/m (No. 87)
Symmetry-distinct sites (fractional):
Y 0.0000 0.0000 0.0000  6 Sb 3.08
Pa 0.1002 0.7000 0.5000  6 Sb 3.08-3.10
Sb 0.0000 0.0000 0.5000  2 Y 3.08, 4 Pa 3.09
Sb 0.1000 0.7011 0.0000  1 Y 3.08, 5 Pa 3.08-3.10



Compound: YPa3Sb4
Source: Alexandria via LeMat-Bulk
Functional: PBE
Structure: optimized geometry

Results
As for the electronic total energy: -7.034 eV per atom. The total magnetic moment is 4.1 μB per cell. The raw formation energy comes out at -0.60 eV per atom.

Cell lengths 8.7752, 12.3654, 4.3570 Å; angles 90.00, 90.00, 90.00 degrees
With the nearest neighbours (Å) after each atom.
Space group Cmmm (No. 65)
Symmetry-distinct sites (fractional):
Y 0.0000 0.0000 0.0000  6 Sb 3.08
Pa 0.0000 0.5000 0.0000  6 Sb 3.10-3.11
Pa 0.2500 0.2500 0.5000  6 Sb 3.09
Sb 0.0000 0.2489 0.0000  1 Y 3.08, 5 Pa 3.09-3.11
Sb 0.2489 0.0000 0.5000  2 Y 3.08, 4 Pa 3.09-3.10



The lowest total magnetic moment belongs to which entry?
YPa4Sb5



The highest electronic total energy belongs to which entry?
PaSb2W



Look up the electronic total energy of the second one.
-8.017 eV per atom



Among the records above, which one has the lowest total magnetic moment?
YPa4Sb5